La2YHo7: optimized geometry, PBE.

DOS(E_F)	16.99	states/eV per cell
total DFT energy (no corrections)	-46.80	eV for the cell shown
total magnetic moment	0.0	μB per formula unit
crystal system	orthorhombic

a b c (Å): 3.522 14.822 14.822
angles (deg): 154.51 90.00 90.00
Sites, in units of the cell vectors:
La: 0.500 0.707 0.293
La: 0.500 0.293 0.707
Ho: 0.500 0.852 0.658
Ho: 0.500 0.658 0.852
Ho: 0.500 0.342 0.148
Ho: 0.000 0.183 0.817
Ho: 0.500 0.500 0.500
Ho: 0.000 0.817 0.183
Ho: 0.500 0.148 0.342
Y: 0.000 0.000 0.000

LaY6Ho5: optimized geometry, PBE.

DOS(E_F)	17.47	states/eV per cell
total DFT energy (no corrections)	-66.26	eV for the cell shown
total magnetic moment	0.0	μB per formula unit
crystal system	monoclinic

a b c (Å): 5.039 7.987 10.103
angles (deg): 90.00 90.00 71.54
Sites, in units of the cell vectors:
Y: 0.500 0.000 0.746
Y: 0.833 0.334 0.253
Y: 0.500 0.000 0.254
Y: 0.167 0.666 0.253
Y: 0.833 0.334 0.747
Y: 0.167 0.666 0.747
Ho: 0.669 0.662 0.000
Ho: 0.333 0.334 0.500
Ho: 0.667 0.666 0.500
Ho: 0.000 0.000 0.500
Ho: 0.331 0.338 0.000
La: 0.000 0.000 0.000

La2Y3Ho7: optimized geometry, PBE.

DOS(E_F)	14.85	states/eV per cell
total DFT energy (no corrections)	-60.17	eV for the cell shown
total magnetic moment	0.0	μB per formula unit
crystal system	monoclinic

a b c (Å): 3.601 5.809 19.337
angles (deg): 103.88 90.00 90.00
Sites, in units of the cell vectors:
Y: 0.500 0.500 0.000
Y: 0.000 0.149 0.372
Y: 0.000 0.851 0.628
Ho: 0.000 0.545 0.859
Ho: 0.500 0.014 0.828
Ho: 0.500 0.720 0.462
Ho: 0.500 0.280 0.538
Ho: 0.000 0.000 0.000
Ho: 0.000 0.455 0.141
Ho: 0.500 0.986 0.172
La: 0.500 0.414 0.707
La: 0.500 0.586 0.293

LaY5Ho2: optimized geometry, PBE.

DOS(E_F)	44.91	states/eV per cell
total DFT energy (no corrections)	-184.85	eV for the cell shown
total magnetic moment	0.0	μB per formula unit
crystal system	orthorhombic

a b c (Å): 7.175 7.175 20.191
angles (deg): 90.00 90.00 90.00
Sites, in units of the cell vectors:
Y: 0.000 0.249 0.625
Y: 0.747 0.500 0.250
Y: 0.500 0.749 0.875
Y: 0.253 0.500 0.750
Y: 0.500 0.251 0.125
Y: 0.747 0.500 0.750
Y: 0.000 0.751 0.375
Y: 0.253 0.000 0.000
Y: 0.000 0.251 0.125
Y: 0.500 0.249 0.625
Y: 0.253 0.500 0.500
Y: 0.253 0.000 0.250
Y: 0.747 0.000 0.000
Y: 0.000 0.749 0.875
Y: 0.747 0.000 0.250
Y: 0.253 0.000 0.750
Y: 0.747 0.000 0.750
Y: 0.253 0.500 0.250
Y: 0.500 0.751 0.375
Y: 0.747 0.500 0.500
La: 0.000 0.252 0.876
La: 0.000 0.752 0.624
La: 0.000 0.748 0.124
La: 0.000 0.248 0.376
Ho: 0.500 0.751 0.625
Ho: 0.747 0.000 0.500
Ho: 0.253 0.000 0.500
Ho: 0.500 0.249 0.375
Ho: 0.253 0.500 0.000
Ho: 0.747 0.500 0.000
Ho: 0.500 0.749 0.125
Ho: 0.500 0.251 0.875

La11Y4Ho9: optimized geometry, PBE.

DOS(E_F)	34.84	states/eV per cell
total DFT energy (no corrections)	-119.44	eV for the cell shown
total magnetic moment	0.0	μB per formula unit
crystal system	orthorhombic

a b c (Å): 3.699 15.597 15.597
angles (deg): 113.07 90.00 90.00
Sites, in units of the cell vectors:
La: 0.000 0.040 0.402
La: 0.000 0.160 0.840
La: 0.000 0.709 0.709
La: 0.000 0.632 0.368
La: 0.000 0.402 0.040
La: 0.000 0.000 0.000
La: 0.000 0.368 0.632
La: 0.000 0.291 0.291
La: 0.000 0.598 0.960
La: 0.000 0.960 0.598
La: 0.000 0.840 0.160
Y: 0.500 0.241 0.444
Y: 0.500 0.444 0.241
Y: 0.500 0.556 0.759
Y: 0.500 0.759 0.556
Ho: 0.500 0.369 0.833
Ho: 0.500 0.833 0.369
Ho: 0.500 0.213 0.068
Ho: 0.500 0.167 0.631
Ho: 0.500 0.631 0.167
Ho: 0.500 0.068 0.213
Ho: 0.500 0.932 0.787
Ho: 0.500 0.787 0.932
Ho: 0.500 0.500 0.500

La2Y2Ho5: optimized geometry, PBE.

DOS(E_F)	28.18	states/eV per cell
total DFT energy (no corrections)	-87.70	eV for the cell shown
total magnetic moment	0.0	μB per formula unit
crystal system	orthorhombic

a b c (Å): 11.947 6.718 10.145
angles (deg): 109.34 126.07 90.00
Sites, in units of the cell vectors:
Ho: 0.375 0.043 0.284
Ho: 0.206 0.653 0.894
Ho: 0.812 0.259 0.106
Ho: 0.408 0.543 0.284
Ho: 0.995 0.150 0.500
Ho: 0.005 0.650 0.500
Ho: 0.592 0.260 0.716
Ho: 0.625 0.760 0.716
Ho: 0.188 0.153 0.894
Ho: 0.794 0.759 0.106
La: 0.500 0.511 0.000
La: 0.257 0.348 0.500
La: 0.000 0.011 0.000
La: 0.743 0.848 0.500
Y: 0.370 0.931 0.748
Y: 0.122 0.682 0.252
Y: 0.878 0.431 0.748
Y: 0.630 0.182 0.252

La2Y4Ho3: optimized geometry, PBE.

DOS(E_F)	17.73	states/eV per cell
total DFT energy (no corrections)	-47.91	eV for the cell shown
total magnetic moment	0.0	μB per formula unit
crystal system	orthorhombic

a b c (Å): 6.941 6.941 8.579
angles (deg): 99.10 99.10 127.52
Sites, in units of the cell vectors:
Y: 0.332 0.044 0.376
Y: 0.956 0.668 0.624
Y: 0.668 0.956 0.624
Y: 0.044 0.332 0.376
Ho: 0.000 0.000 0.000
Ho: 0.000 0.500 0.000
Ho: 0.500 0.000 0.000
La: 0.612 0.612 0.224
La: 0.388 0.388 0.776

La3YHo6: optimized geometry, PBE.

DOS(E_F)	21.91	states/eV per cell
total DFT energy (no corrections)	-45.79	eV for the cell shown
total magnetic moment	0.0	μB per formula unit
crystal system	trigonal

a b c (Å): 9.931 9.931 6.922
angles (deg): 44.16 44.16 60.00
Sites, in units of the cell vectors:
Ho: 0.425 0.775 0.705
Ho: 0.095 0.425 0.705
Ho: 0.605 0.274 0.197
Ho: 0.775 0.095 0.705
Ho: 0.924 0.605 0.197
Ho: 0.274 0.924 0.197
La: 0.598 0.598 0.206
La: 0.103 0.103 0.691
La: 0.351 0.351 0.948
Y: 0.851 0.851 0.448